[1]
The following is a PBE calculation of an optimized crystal structure of Nd4GaAg2, from Alexandria via LeMat-Bulk.

- SG: No. 166
- Mass density: 7.11 g/cm³
- ΔE_f: -209.0 meV per atom

abc: 8.9653 8.9653 8.9653
angles: 34.05 34.05 34.05
Fractional coordinates of all 7 atoms:
Nd: 0.1213 0.1213 0.1213
Nd: 0.3737 0.3737 0.3737
Nd: 0.6263 0.6263 0.6263
Nd: 0.8787 0.8787 0.8787
Ga: 0.5000 0.5000 0.5000
Ag: 0.2465 0.2465 0.2465
Ag: 0.7535 0.7535 0.7535


[2]
The following is a PBE calculation of an optimized crystal structure of Nd3Ga2Ag4, from Alexandria via LeMat-Bulk.

- SG: No. 12
- Mass density: 7.97 g/cm³
- ΔE_f: -383.1 meV per atom

abc: 5.9635 5.9635 8.9636
angles: 113.28 113.28 46.62
Fractional coordinates of all 9 atoms:
Nd: 0.0000 0.0000 0.0000
Nd: 0.3400 0.3400 0.3282
Nd: 0.6600 0.6600 0.6718
Ga: 0.3767 0.3767 0.7074
Ga: 0.6233 0.6233 0.2926
Ag: 0.0746 0.0746 0.4014
Ag: 0.2863 0.2863 0.9429
Ag: 0.7137 0.7137 0.0571
Ag: 0.9254 0.9254 0.5986


[3]
The following is a PBE calculation of an optimized crystal structure of Nd4GaAg3, from Alexandria via LeMat-Bulk.

- Energy above the lowest structure with this stoichiometry: 28 meV/atom
- SG: No. 25
- Mass density: 7.51 g/cm³
- ΔE_f: -306.2 meV per atom

abc: 3.7995 4.8121 11.7309
angles: 90.00 90.00 90.00
Fractional coordinates of all 8 atoms:
Nd: 0.0000 0.0000 0.0000
Nd: 0.0000 0.5000 0.2921
Nd: 0.5000 0.0000 0.4949
Nd: 0.5000 0.5000 0.7902
Ga: 0.5000 0.0000 0.2233
Ag: 0.0000 0.0000 0.7196
Ag: 0.0000 0.5000 0.5706
Ag: 0.5000 0.5000 0.0713


[4]
The following is a PBE calculation of an optimized crystal structure of Nd4GaAg2, from Alexandria via LeMat-Bulk.

- SG: No. 122
- Mass density: 7.17 g/cm³
- ΔE_f: -209.8 meV per atom

abc: 8.0359 8.0359 8.0359
angles: 109.06 109.06 110.30
Fractional coordinates of all 14 atoms:
Nd: 0.1167 0.2288 0.7491
Nd: 0.1176 0.7298 0.7509
Nd: 0.2702 0.0212 0.3878
Nd: 0.4798 0.3676 0.2509
Nd: 0.6324 0.8833 0.1122
Nd: 0.6333 0.8824 0.6122
Nd: 0.7712 0.5202 0.8878
Nd: 0.9788 0.3667 0.2491
Ga: 0.0000 0.0000 0.0000
Ga: 0.7500 0.2500 0.5000
Ag: 0.2541 0.6250 0.1291
Ag: 0.3750 0.5041 0.6291
Ag: 0.4959 0.1250 0.8709
Ag: 0.8750 0.7459 0.3709


[5]
The following is a PBE calculation of an optimized crystal structure of NdGaAg3, from Alexandria via LeMat-Bulk.

- SG: No. 59
- Mass density: 8.49 g/cm³
- ΔE_f: -241.3 meV per atom

abc: 4.9492 6.6362 6.4020
angles: 90.00 90.00 90.00
Fractional coordinates of all 10 atoms:
Nd: 0.2500 0.2500 0.2488
Nd: 0.7500 0.7500 0.7512
Ga: 0.2500 0.7500 0.4479
Ga: 0.7500 0.2500 0.5521
Ag: 0.2500 0.0466 0.7359
Ag: 0.2500 0.4534 0.7359
Ag: 0.2500 0.7500 0.0555
Ag: 0.7500 0.2500 0.9445
Ag: 0.7500 0.5466 0.2641
Ag: 0.7500 0.9534 0.2641


[6]
The following is a PBE calculation of an optimized crystal structure of Nd3GaAg, from Alexandria via LeMat-Bulk.

- Energy above the lowest structure with this stoichiometry: 0 meV/atom
- SG: No. 63
- Mass density: 7.25 g/cm³
- ΔE_f: -303.4 meV per atom

abc: 10.3005 10.3005 5.3031
angles: 90.00 90.00 150.20
Fractional coordinates of all 10 atoms:
Nd: 0.0629 0.9371 0.7500
Nd: 0.2480 0.7520 0.7500
Nd: 0.4316 0.5684 0.7500
Nd: 0.5684 0.4316 0.2500
Nd: 0.7520 0.2480 0.2500
Nd: 0.9371 0.0629 0.2500
Ga: 0.1544 0.8456 0.2500
Ga: 0.8456 0.1544 0.7500
Ag: 0.3434 0.6566 0.2500
Ag: 0.6566 0.3434 0.7500


[7]
The following is a PBE calculation of an optimized crystal structure of Nd3Ga4Ag4, from Alexandria via LeMat-Bulk.

- SG: No. 71
- Mass density: 7.83 g/cm³
- ΔE_f: -424.1 meV per atom

abc: 14.3144 14.3144 14.3144
angles: 164.95 161.43 23.98
Fractional coordinates of all 11 atoms:
Nd: 0.0000 0.0000 0.0000
Nd: 0.3555 0.8555 0.5000
Nd: 0.6445 0.1445 0.5000
Ga: 0.1880 0.6880 0.5000
Ga: 0.4527 0.4527 0.0000
Ga: 0.5473 0.5473 0.0000
Ga: 0.8120 0.3120 0.5000
Ag: 0.0938 0.5938 0.5000
Ag: 0.2579 0.2579 0.0000
Ag: 0.7421 0.7421 0.0000
Ag: 0.9062 0.4062 0.5000


[8]
The following is a PBE calculation of an optimized crystal structure of Nd6GaAg2, from Alexandria via LeMat-Bulk.

- SG: No. 71
- Mass density: 7.14 g/cm³
- ΔE_f: -194.6 meV per atom

abc: 8.8587 8.8587 8.8587
angles: 110.19 109.39 108.84
Fractional coordinates of all 18 atoms:
Nd: 0.0619 0.2378 0.8241
Nd: 0.2292 0.5580 0.3288
Nd: 0.2292 0.9004 0.6712
Nd: 0.3035 0.2491 0.5525
Nd: 0.3035 0.7509 0.0544
Nd: 0.4137 0.2378 0.1759
Nd: 0.5863 0.7622 0.8241
Nd: 0.6965 0.2491 0.9456
Nd: 0.6965 0.7509 0.4475
Nd: 0.7708 0.0996 0.3288
Nd: 0.7708 0.4420 0.6712
Nd: 0.9381 0.7622 0.1759
Ga: 0.5000 0.0000 0.5000
Ga: 0.5000 0.5000 0.0000
Ag: 0.0000 0.1354 0.1354
Ag: 0.0000 0.8646 0.8646
Ag: 0.1398 0.5000 0.6398
Ag: 0.8602 0.5000 0.3602


- The lowest mass density belongs to which entry?
  number 1


- Look up the ΔE_f of the eighth one.
  -194.6 meV per atom


- Among the records above, which one has the highest ΔE_f?
  Nd6GaAg2